An optimized crystal structure of ZrTeH3. Source: Alexandria via LeMat-Bulk, functional PBE.

abc: 3.982 3.982 3.982
angles: 90.00 90.00 90.00
Fractional positions:
H 0.000 0.500 0.000
H 0.000 0.000 0.500
H 0.500 0.000 0.000
Te 0.000 0.000 0.000
Zr 0.500 0.500 0.500

Results
* energy relative to the lowest polymorph listed for this composition: 0.8775 eV per atom
* SG: Pm-3m (221)
* N(E_F): 0.337 states/eV per atom
* mass density: 5.83 g/cm³

***

An optimized crystal structure of MnAgHAu2. Source: Alexandria via LeMat-Bulk, functional PBE.

abc: 4.653 4.653 3.330
angles: 90.00 90.00 90.00
Fractional positions:
H 0.000 0.000 0.000
Mn 0.000 0.000 0.500
Au 0.000 0.500 0.000
Au 0.500 0.000 0.000
Ag 0.500 0.500 0.500

Results
* total energy: -4.245 eV/atom
* SG: P4/mmm (123)
* N(E_F): 0.289 states/eV per atom
* mass density: 12.85 g/cm³